VASP calculation (GGA-PBE) on crystalline MgZnPt at its relaxed geometry.

Calculated values
The formation enthalpy at 0 K is -328.3 meV/atom. The value obtained for the volume is 50 Å³ per cell. The calculation puts the total energy at -3.30 eV/atom.

The structure in CIF format:
```
data_MgZnPt
_chemical_formula_sum 'Mg1 Zn1 Pt1'
_cell_length_a 2.9811
_cell_length_b 2.9811
_cell_length_c 6.4956
_cell_angle_alpha 90.00
_cell_angle_beta 90.00
_cell_angle_gamma 120.00
_symmetry_space_group_name_H-M 'P 3 m 1'
_symmetry_Int_Tables_number 156
loop_
_symmetry_equiv_pos_as_xyz
'x,y,z'
'-y,x-y,z'
'-x+y,-x,z'
'-y,-x,z'
'-x+y,y,z'
'x,x-y,z'
loop_
_atom_site_label
_atom_site_type_symbol
_atom_site_fract_x
_atom_site_fract_y
_atom_site_fract_z
_atom_site_occupancy
Mg1 Mg 0.0000 0.0000 0.0000 1
Zn1 Zn 0.3333 0.6667 0.6363 1
Pt1 Pt 0.6667 0.3333 0.3223 1
```